Ce2TmThSb5 | PBE | optimized geometry

Lattice parameters (Å, degrees): 5.237 5.237 11.782 90.00 90.00 90.00
Site moments in Bohr magnetons follow the coordinates.
Atoms (fractional coordinates):
Th: 0.000 0.000 0.000  -0.04
Sb: 0.000 0.000 0.251  -0.03
Sb: 0.500 0.000 0.500  -0.02
Sb: 0.000 0.000 0.749  -0.03
Sb: 0.000 0.500 0.500  -0.02
Sb: 0.500 0.500 0.000  -0.02
Tm: 0.000 0.000 0.500  -0.02
Ce: 0.500 0.500 0.702  0.95
Ce: 0.500 0.500 0.298  0.95

Values from the calculation:
SG: P4/mmm
Raw total energy, eV/cell: -47.1
Density of states at the Fermi level, states/eV/cell: 16.487



ReRh2Se | PBE | optimized geometry

Lattice parameters (Å, degrees): 5.387 5.387 5.387 148.52 131.42 59.05
Atoms (fractional coordinates):
Se: 0.489 0.489 0.000
Rh: 0.015 0.015 0.000
Rh: 0.719 0.219 0.500
Re: 0.276 0.776 0.500

Values from the calculation:
SG: Imm2
Raw total energy, eV/cell: -29.6
Density of states at the Fermi level, states/eV/cell: 4.141



MgCu2AsSe4 | PBE | optimized geometry

Lattice parameters (Å, degrees): 5.824 5.824 7.032 114.45 114.45 90.02
Atoms (fractional coordinates):
Se: 0.392 0.883 0.275
Se: 0.608 0.608 0.725
Se: 0.117 0.117 0.725
Se: 0.883 0.392 0.275
Mg: 0.000 0.000 0.000
Cu: 0.250 0.750 0.500
Cu: 0.750 0.250 0.500
As: 0.500 0.500 0.000

Values from the calculation:
SG: I-42m
Raw total energy, eV/cell: -31.3
Density of states at the Fermi level, states/eV/cell: 3.505



AcTiI2 | PBE | optimized geometry

Lattice parameters (Å, degrees): 3.948 3.948 10.724 79.39 79.39 60.00
Site moments in Bohr magnetons follow the coordinates.
Atoms (fractional coordinates):
I: 0.890 0.890 0.330  -0.01
I: 0.110 0.110 0.670  -0.01
Ac: 0.000 0.000 0.000  -0.02
Ti: 0.500 0.500 0.500  1.62

Values from the calculation:
SG: R-3m
Raw total energy, eV/cell: -16.3
Density of states at the Fermi level, states/eV/cell: 5.308



SrCuOs2 | PBE | optimized geometry

Lattice parameters (Å, degrees): 4.623 4.623 4.623 60.00 60.00 60.00
Site moments in Bohr magnetons follow the coordinates.
Atoms (fractional coordinates):
Os: 0.250 0.250 0.250  0.94
Os: 0.750 0.750 0.750  0.94
Cu: 0.000 0.000 0.000  0.18
Sr: 0.500 0.500 0.500  0.04

Values from the calculation:
ΔH_f (0 K), meV/atom: 1466.1
SG: Fm-3m
Raw total energy, eV/cell: -22.4
Density of states at the Fermi level, states/eV/cell: 7.468



TbEuPdAu | PBE | optimized geometry

Lattice parameters (Å, degrees): 5.117 5.117 5.117 60.00 60.00 60.00
Site moments in Bohr magnetons follow the coordinates.
Atoms (fractional coordinates):
Tb: 0.500 0.500 0.500  0.05
Pd: 0.250 0.250 0.250  -0.01
Au: 0.750 0.750 0.750  0.01
Eu: 0.000 0.000 0.000  6.78

Values from the calculation:
ΔH_f (0 K), meV/atom: -749.7
SG: F-43m
Raw total energy, eV/cell: -26.4
Density of states at the Fermi level, states/eV/cell: 9.092



Al2TeRh2 | PBE | optimized geometry

Lattice parameters (Å, degrees): 3.736 3.736 6.729 73.88 73.88 90.00
Atoms (fractional coordinates):
Rh: 0.613 0.613 0.774
Rh: 0.387 0.387 0.226
Al: 0.250 0.750 0.500
Al: 0.750 0.250 0.500
Te: 0.000 0.000 0.000

Values from the calculation:
SG: I4/mmm
Raw total energy, eV/cell: -27.8
Density of states at the Fermi level, states/eV/cell: 1.830



NpPa3N6 | PBE | optimized geometry

Lattice parameters (Å, degrees): 3.570 9.194 9.354 104.70 90.00 90.00
Site moments in Bohr magnetons follow the coordinates.
Atoms (fractional coordinates):
N: 0.250 0.285 0.712  -0.06
N: 0.250 0.263 0.221  -0.01
N: 0.250 0.550 0.418  0.00
N: 0.750 0.928 0.085  -0.04
N: 0.250 0.589 0.947  -0.01
N: 0.750 0.715 0.288  -0.06
N: 0.750 0.411 0.053  -0.01
N: 0.750 0.450 0.582  0.00
N: 0.250 0.891 0.556  -0.12
N: 0.250 0.072 0.915  -0.04
N: 0.750 0.109 0.444  -0.12
N: 0.750 0.737 0.779  -0.01
Pa: 0.250 0.314 0.475  0.14
Pa: 0.750 0.686 0.525  0.14
Pa: 0.750 0.170 0.077  0.06
Pa: 0.250 0.540 0.179  0.12
Pa: 0.750 0.460 0.821  0.12
Pa: 0.250 0.830 0.923  0.06
Np: 0.750 0.069 0.674  3.57
Np: 0.250 0.931 0.326  3.57

Values from the calculation:
SG: P2_1/m
Raw total energy, eV/cell: -212.9
Density of states at the Fermi level, states/eV/cell: 16.002